No. 1
First-principles (PBE) data for crystalline Sm11In9Pd4 at its relaxed geometry, as listed in OQMD.

a b c (Å): 13.390 13.390 3.769
angles (deg): 90.00 90.00 112.71
Sites, in units of the cell vectors:
In 0.217 0.075 0.000
In 0.633 0.159 0.000
In 0.075 0.217 0.000
In 0.841 0.367 0.000
In 0.500 0.500 0.000
In 0.159 0.633 0.000
In 0.925 0.783 0.000
In 0.367 0.841 0.000
In 0.783 0.925 0.000
Pd 0.449 0.247 0.000
Pd 0.247 0.449 0.000
Pd 0.753 0.551 0.000
Pd 0.551 0.753 0.000
Sm 0.000 0.000 0.500
Sm 0.414 0.071 0.500
Sm 0.839 0.161 0.500
Sm 0.309 0.309 0.500
Sm 0.628 0.372 0.500
Sm 0.071 0.414 0.500
Sm 0.929 0.586 0.500
Sm 0.372 0.628 0.500
Sm 0.691 0.691 0.500
Sm 0.161 0.839 0.500
Sm 0.586 0.929 0.500

Raw total energy   -113.12 eV for the cell shown

***

No. 2
First-principles (PBE) data for crystalline SmIn2Pd3 at its relaxed geometry, as listed in OQMD.

a b c (Å): 4.644 4.644 12.856
angles (deg): 90.00 90.00 120.00
Sites, in units of the cell vectors:
In 0.667 0.333 0.082
In 0.667 0.333 0.418
In 0.333 0.667 0.582
In 0.333 0.667 0.918
Pd 0.000 0.000 0.000
Pd 0.333 0.667 0.135
Pd 0.333 0.667 0.365
Pd 0.000 0.000 0.500
Pd 0.667 0.333 0.635
Pd 0.667 0.333 0.865
Sm 0.000 0.000 0.250
Sm 0.000 0.000 0.750

Raw total energy   -60.00 eV for the cell shown

***

No. 3
First-principles (PBE) data for crystalline SmInPd at its relaxed geometry, as listed in OQMD.

a b c (Å): 8.345 8.345 3.362
angles (deg): 90.00 90.00 120.00
Sites, in units of the cell vectors:
In 0.667 0.333 0.000
In 0.333 0.667 0.000
In 0.000 0.000 0.500
Pd 0.630 0.000 0.500
Pd 0.370 0.370 0.500
Pd 0.000 0.630 0.500
Sm 0.298 0.000 0.000
Sm 0.000 0.298 0.000
Sm 0.702 0.702 0.000

Raw total energy   -40.86 eV for the cell shown

***

No. 4
First-principles (PBE) data for crystalline SmInPd at its relaxed geometry, as listed in OQMD.

a b c (Å): 4.906 4.906 4.906
angles (deg): 60.00 60.00 60.00
Sites, in units of the cell vectors:
In 0.250 0.250 0.250
Pd 0.750 0.750 0.750
Sm 0.000 0.000 0.000

Raw total energy   -12.81 eV for the cell shown

***

No. 5
First-principles (PBE) data for crystalline SmInPd at its relaxed geometry, as listed in OQMD.

a b c (Å): 7.993 7.993 3.874
angles (deg): 90.00 90.00 120.00
Sites, in units of the cell vectors:
In 0.612 0.000 0.500
In 0.388 0.388 0.500
In 0.000 0.612 0.500
Pd 0.667 0.333 0.000
Pd 0.333 0.667 0.000
Pd 0.000 0.000 0.500
Sm 0.276 0.000 0.000
Sm 0.000 0.276 0.000
Sm 0.724 0.724 0.000

Raw total energy   -43.01 eV for the cell shown

***

No. 6
First-principles (PBE) data for crystalline SmInPd at its relaxed geometry, as listed in OQMD.

a b c (Å): 7.539 7.539 4.138
angles (deg): 90.00 90.00 120.00
Sites, in units of the cell vectors:
In 0.251 0.000 0.000
In 0.000 0.251 0.000
In 0.749 0.749 0.000
Pd 0.667 0.333 0.000
Pd 0.333 0.667 0.000
Pd 0.000 0.000 0.500
Sm 0.587 0.000 0.500
Sm 0.413 0.413 0.500
Sm 0.000 0.587 0.500

Raw total energy   -45.07 eV for the cell shown

***

No. 7
First-principles (PBE) data for crystalline SmInPd at its relaxed geometry, as listed in OQMD.

a b c (Å): 7.274 7.274 4.546
angles (deg): 90.00 90.00 120.00
Sites, in units of the cell vectors:
In 0.667 0.333 0.000
In 0.333 0.667 0.000
In 0.000 0.000 0.500
Pd 0.238 0.000 0.000
Pd 0.000 0.238 0.000
Pd 0.762 0.762 0.000
Sm 0.562 0.000 0.500
Sm 0.438 0.438 0.500
Sm 0.000 0.562 0.500

Raw total energy   -43.28 eV for the cell shown

***

No. 8
First-principles (PBE) data for crystalline Sm2InSnPd4 at its relaxed geometry, as listed in OQMD.

a b c (Å): 4.628 4.628 9.120
angles (deg): 90.00 90.00 120.00
Sites, in units of the cell vectors:
In 0.000 0.000 0.000
Pd 0.667 0.333 0.083
Pd 0.667 0.333 0.417
Pd 0.333 0.667 0.583
Pd 0.333 0.667 0.917
Sm 0.333 0.667 0.250
Sm 0.667 0.333 0.750
Sn 0.000 0.000 0.500

Raw total energy   -43.53 eV for the cell shown

***

No. 9
First-principles (PBE) data for crystalline SmYIn2Pd4 at its relaxed geometry, as listed in OQMD.

a b c (Å): 4.622 4.622 9.008
angles (deg): 90.00 90.00 120.00
Sites, in units of the cell vectors:
In 0.333 0.667 0.254
In 0.333 0.667 0.746
Pd 0.667 0.333 0.169
Pd 0.000 0.000 0.339
Pd 0.000 0.000 0.661
Pd 0.667 0.333 0.831
Sm 0.000 0.000 0.000
Y 0.667 0.333 0.500

Raw total energy   -43.86 eV for the cell shown

***

No. 10
First-principles (PBE) data for crystalline In2SnPd2 at its relaxed geometry, as listed in OQMD.

a b c (Å): 6.795 6.795 6.795
angles (deg): 143.89 143.89 52.00
Sites, in units of the cell vectors:
In 0.750 0.250 0.500
In 0.250 0.750 0.500
Pd 0.392 0.392 0.000
Pd 0.608 0.608 0.000
Sn 0.000 0.000 0.000

Raw total energy   -20.78 eV for the cell shown

***

No. 11
First-principles (PBE) data for crystalline InSnPd2 at its relaxed geometry, as listed in OQMD.

a b c (Å): 3.315 3.315 16.159
angles (deg): 90.00 90.00 120.00
Sites, in units of the cell vectors:
In 0.667 0.333 0.250
In 0.333 0.667 0.750
Pd 0.333 0.667 0.125
Pd 0.333 0.667 0.375
Pd 0.667 0.333 0.625
Pd 0.667 0.333 0.875
Sn 0.000 0.000 0.000
Sn 0.000 0.000 0.500

Raw total energy   -37.21 eV for the cell shown

***

No. 12
First-principles (PBE) data for crystalline InSn5Pd3 at its relaxed geometry, as listed in OQMD.

a b c (Å): 5.597 5.597 7.739
angles (deg): 90.00 90.00 120.00
Sites, in units of the cell vectors:
In 0.000 0.000 0.000
Pd 0.500 0.000 0.500
Pd 0.000 0.500 0.500
Pd 0.500 0.500 0.500
Sn 0.667 0.333 0.200
Sn 0.333 0.667 0.200
Sn 0.000 0.000 0.500
Sn 0.667 0.333 0.800
Sn 0.333 0.667 0.800

Raw total energy   -40.54 eV for the cell shown